# 1
# NpUP2

A relaxed NpUP2 crystal (PBE, the Alexandria database).

Unit cell a=6.8411 b=6.8411 c=6.8411 alpha=131.79 beta=131.79 gamma=70.56
With the nearest neighbours (Å) after each atom.
Atoms (fractional coordinates):
1 Np 0.3750 0.6250 0.7500  6 P 2.79-2.80
2 Np 0.6250 0.3750 0.2500  6 P 2.79-2.80
3 U 0.1250 0.8750 0.2500  6 P 2.79
4 U 0.8750 0.1250 0.7500  6 P 2.79
5 P 0.1247 0.3747 0.7500  3 U 2.79, 3 Np 2.79-2.80
6 P 0.3747 0.1247 0.2500  3 U 2.79, 3 Np 2.79-2.80
7 P 0.6253 0.8753 0.7500  3 U 2.79, 3 Np 2.79-2.80
8 P 0.8753 0.6253 0.2500  3 U 2.79, 3 Np 2.79-2.80

electronic total energy: -77.427 eV/cell
energy relative to the elements: -0.9162 eV per atom
energy relative to the lowest polymorph listed for this composition: 0.16 kJ per mole of atoms
space group: I4_1/amd (141)

***

# 2
# NpU3P4

A relaxed NpU3P4 crystal (PBE, the Alexandria database).

Unit cell a=5.5796 b=5.5796 c=5.5796 alpha=90.00 beta=90.00 gamma=90.00
With the nearest neighbours (Å) after each atom.
Atoms (fractional coordinates):
1 Np 0.0000 0.0000 0.0000  6 P 2.79
2 U 0.0000 0.5000 0.5000  6 P 2.79
3 U 0.5000 0.0000 0.5000  6 P 2.79
4 U 0.5000 0.5000 0.0000  6 P 2.79
5 P 0.0000 0.0000 0.5000  4 U 2.79, 2 Np 2.79
6 P 0.0000 0.5000 0.0000  4 U 2.79, 2 Np 2.79
7 P 0.5000 0.0000 0.0000  4 U 2.79, 2 Np 2.79
8 P 0.5000 0.5000 0.5000  6 U 2.79

electronic total energy: -75.976 eV/cell
energy relative to the elements: -0.9415 eV per atom
space group: Pm-3m (221)

***

# 3
# NpUP2

A relaxed NpUP2 crystal (PBE, the Alexandria database).

Unit cell a=7.3062 b=7.3062 c=7.3062 alpha=30.45 beta=30.45 gamma=30.45
With the nearest neighbours (Å) after each atom.
Atoms (fractional coordinates):
1 Np 0.0000 0.0000 0.0000  6 P 2.78-2.83
2 U 0.1704 0.1704 0.1704  6 P 2.81-2.85
3 P 0.4179 0.4179 0.4179  3 Np 2.83, 3 U 2.85
4 P 0.5864 0.5864 0.5864  3 Np 2.78, 3 U 2.81

electronic total energy: -38.048 eV/cell
energy relative to the elements: -0.7499 eV per atom
energy relative to the lowest polymorph listed for this composition: 16.20 kJ per mole of atoms
space group: R3m (160)

***

# 4
# Np4UP5

A relaxed Np4UP5 crystal (PBE, the Alexandria database).

Unit cell a=10.5162 b=10.5162 c=10.5162 alpha=158.53 beta=149.18 gamma=37.87
With the nearest neighbours (Å) after each atom.
Atoms (fractional coordinates):
1 Np 0.0995 0.0995 0.0000  6 P 2.79-2.80
2 Np 0.2999 0.2999 0.0000  6 P 2.79-2.80
3 Np 0.7001 0.7001 0.0000  6 P 2.79-2.80
4 Np 0.9005 0.9005 0.0000  6 P 2.79-2.80
5 U 0.5000 0.5000 0.0000  6 P 2.79
6 P 0.0000 0.5000 0.5000  4 Np 2.79, 2 U 2.79
7 P 0.1998 0.6998 0.5000  6 Np 2.79-2.80
8 P 0.4003 0.9003 0.5000  2 U 2.79, 4 Np 2.79-2.80
9 P 0.5997 0.0997 0.5000  2 U 2.79, 4 Np 2.79-2.80
10 P 0.8002 0.3002 0.5000  6 Np 2.79-2.80

electronic total energy: -98.855 eV/cell
energy relative to the elements: -0.8754 eV per atom
space group: Immm (71)

***

# 5
# Y2NpUP4

A relaxed Y2NpUP4 crystal (PBE, the Alexandria database).

Unit cell a=6.8582 b=3.9650 c=6.9300 alpha=90.00 beta=109.29 gamma=90.00
With the nearest neighbours (Å) after each atom.
Atoms (fractional coordinates):
1 Y 0.0000 0.0000 0.0000  6 P 2.84
2 Y 0.5000 0.5000 0.0000  6 P 2.83
3 Np 0.0000 0.5000 0.5000  6 P 2.79-2.80
4 U 0.5000 0.0000 0.5000  6 P 2.78
5 P 0.2491 0.0000 0.7433  1 U 2.78, 2 Np 2.79, 3 Y 2.83-2.84
6 P 0.2536 0.5000 0.2562  2 U 2.78, 1 Np 2.80, 3 Y 2.83-2.84
7 P 0.7464 0.5000 0.7438  2 U 2.78, 1 Np 2.80, 3 Y 2.83-2.84
8 P 0.7509 0.0000 0.2567  1 U 2.78, 2 Np 2.79, 3 Y 2.83-2.84

electronic total energy: -69.013 eV/cell
energy relative to the elements: -1.2770 eV per atom
space group: P2/m (10)

***

# 6
# YNpU2P4

A relaxed YNpU2P4 crystal (PBE, the Alexandria database).

Unit cell a=6.8158 b=3.9224 c=6.9188 alpha=90.00 beta=109.05 gamma=90.00
With the nearest neighbours (Å) after each atom.
Atoms (fractional coordinates):
1 Y 0.0000 0.0000 0.0000  6 P 2.81-2.82
2 Np 0.5000 0.5000 0.0000  6 P 2.80-2.81
3 U 0.0000 0.5000 0.5000  6 P 2.79
4 U 0.5000 0.0000 0.5000  6 P 2.77-2.78
5 P 0.2503 0.0000 0.7471  3 U 2.78-2.79, 2 Np 2.80, 1 Y 2.81
6 P 0.2533 0.5000 0.2552  3 U 2.77-2.79, 1 Np 2.81, 2 Y 2.82
7 P 0.7467 0.5000 0.7448  3 U 2.77-2.79, 1 Np 2.81, 2 Y 2.82
8 P 0.7497 0.0000 0.2529  3 U 2.78-2.79, 2 Np 2.80, 1 Y 2.81

electronic total energy: -72.357 eV/cell
energy relative to the elements: -1.0920 eV per atom
space group: P2/m (10)

***

# 7
# YNp2UP4

A relaxed YNp2UP4 crystal (PBE, the Alexandria database).

Unit cell a=6.8167 b=3.9365 c=6.9178 alpha=90.00 beta=109.18 gamma=90.00
With the nearest neighbours (Å) after each atom.
Atoms (fractional coordinates):
1 Y 0.0000 0.0000 0.0000  6 P 2.81-2.82
2 Np 0.5000 0.0000 0.5000  6 P 2.78-2.79
3 Np 0.5000 0.5000 0.0000  6 P 2.81
4 U 0.0000 0.5000 0.5000  6 P 2.78-2.79
5 P 0.2488 0.0000 0.7472  2 U 2.79, 3 Np 2.79-2.81, 1 Y 2.81
6 P 0.2525 0.5000 0.2553  3 Np 2.78-2.81, 1 U 2.78, 2 Y 2.82
7 P 0.7475 0.5000 0.7447  3 Np 2.78-2.81, 1 U 2.78, 2 Y 2.82
8 P 0.7512 0.0000 0.2528  2 U 2.79, 3 Np 2.79-2.81, 1 Y 2.81

electronic total energy: -73.754 eV/cell
energy relative to the elements: -1.0601 eV per atom
space group: P2/m (10)

***

# 8
# Zr2Np3UP6

A relaxed Zr2Np3UP6 crystal (PBE, the Alexandria database).

Unit cell a=8.6589 b=8.6589 c=7.7247 alpha=103.17 beta=103.17 gamma=25.93
With the nearest neighbours (Å) after each atom.
Atoms (fractional coordinates):
1 Zr 0.1685 0.1685 0.3373  6 P 2.67-2.71
2 Zr 0.8315 0.8315 0.6627  6 P 2.67-2.71
3 Np 0.1668 0.1668 0.8313  6 P 2.74-2.81
4 Np 0.5000 0.5000 0.5000  6 P 2.75-2.77
5 Np 0.8332 0.8332 0.1687  6 P 2.74-2.81
6 U 0.5000 0.5000 0.0000  6 P 2.73
7 P 0.0043 0.0043 0.2509  1 Zr 2.69, 2 U 2.73, 3 Np 2.75-2.81
8 P 0.3313 0.3313 0.4213  3 Zr 2.67-2.69, 3 Np 2.76-2.77
9 P 0.3335 0.3335 0.9085  2 Zr 2.71, 1 U 2.73, 3 Np 2.74-2.80
10 P 0.6665 0.6665 0.0915  2 Zr 2.71, 1 U 2.73, 3 Np 2.74-2.80
11 P 0.6687 0.6687 0.5787  3 Zr 2.67-2.69, 3 Np 2.76-2.77
12 P 0.9957 0.9957 0.7491  1 Zr 2.69, 2 U 2.73, 3 Np 2.75-2.81

electronic total energy: -112.563 eV/cell
energy relative to the elements: -1.0747 eV per atom
space group: C2/m (12)

***

# 9
# ZrNp3U2P6

A relaxed ZrNp3U2P6 crystal (PBE, the Alexandria database).

Unit cell a=6.8047 b=6.8047 c=6.7056 alpha=99.73 beta=99.73 gamma=119.97
With the nearest neighbours (Å) after each atom.
Atoms (fractional coordinates):
1 Zr 0.0000 0.0000 0.0000  6 P 2.71-2.72
2 Np 0.1684 0.8316 0.5000  6 P 2.77-2.80
3 Np 0.5000 0.5000 0.5000  6 P 2.77-2.80
4 Np 0.8316 0.1684 0.5000  6 P 2.77-2.80
5 U 0.3342 0.6658 0.0000  6 P 2.76-2.77
6 U 0.6658 0.3342 0.0000  6 P 2.76-2.77
7 P 0.0808 0.4088 0.2437  1 Zr 2.71, 2 U 2.76, 3 Np 2.77-2.80
8 P 0.2445 0.2445 0.7519  1 Zr 2.72, 2 U 2.77, 3 Np 2.77-2.80
9 P 0.4088 0.0808 0.2437  1 Zr 2.71, 2 U 2.76, 3 Np 2.77-2.80
10 P 0.5912 0.9192 0.7563  1 Zr 2.71, 2 U 2.76, 3 Np 2.77-2.80
11 P 0.7555 0.7555 0.2481  1 Zr 2.72, 2 U 2.77, 3 Np 2.77-2.80
12 P 0.9192 0.5912 0.7563  1 Zr 2.71, 2 U 2.76, 3 Np 2.77-2.80

electronic total energy: -114.515 eV/cell
energy relative to the elements: -1.0091 eV per atom
space group: C2/m (12)

***

# 10
# ZrNp2U3P6

A relaxed ZrNp2U3P6 crystal (PBE, the Alexandria database).

Unit cell a=6.7689 b=6.7689 c=6.7500 alpha=99.65 beta=99.65 gamma=120.02
With the nearest neighbours (Å) after each atom.
Atoms (fractional coordinates):
1 Zr 0.0000 0.0000 0.0000  6 P 2.71-2.72
2 Np 0.3343 0.6657 0.0000  6 P 2.76-2.77
3 Np 0.6657 0.3343 0.0000  6 P 2.76-2.77
4 U 0.1688 0.8312 0.5000  6 P 2.76-2.79
5 U 0.5000 0.5000 0.5000  6 P 2.76-2.80
6 U 0.8312 0.1688 0.5000  6 P 2.76-2.79
7 P 0.0813 0.4086 0.2451  1 Zr 2.71, 3 U 2.76-2.79, 2 Np 2.76-2.77
8 P 0.2431 0.2431 0.7509  1 Zr 2.72, 3 U 2.76-2.80, 2 Np 2.77
9 P 0.4086 0.0813 0.2451  1 Zr 2.71, 3 U 2.76-2.79, 2 Np 2.76-2.77
10 P 0.5914 0.9187 0.7549  1 Zr 2.71, 3 U 2.76-2.79, 2 Np 2.76-2.77
11 P 0.7569 0.7569 0.2491  1 Zr 2.72, 3 U 2.76-2.80, 2 Np 2.77
12 P 0.9187 0.5914 0.7549  1 Zr 2.71, 3 U 2.76-2.79, 2 Np 2.76-2.77

electronic total energy: -113.057 eV/cell
energy relative to the elements: -1.0253 eV per atom
space group: C2/m (12)

***

# 11
# ZrNp4U3P8

A relaxed ZrNp4U3P8 crystal (PBE, the Alexandria database).

Unit cell a=7.8080 b=7.8080 c=7.8080 alpha=60.53 beta=60.53 gamma=60.53
With the nearest neighbours (Å) after each atom.
Atoms (fractional coordinates):
1 Zr 0.0000 0.0000 0.0000  6 P 2.72
2 Np 0.0000 0.0000 0.5000  6 P 2.77
3 Np 0.0000 0.5000 0.0000  6 P 2.77
4 Np 0.5000 0.0000 0.0000  6 P 2.77
5 Np 0.5000 0.5000 0.5000  6 P 2.82
6 U 0.0000 0.5000 0.5000  6 P 2.77
7 U 0.5000 0.0000 0.5000  6 P 2.77
8 U 0.5000 0.5000 0.0000  6 P 2.77
9 P 0.2453 0.2453 0.7543  1 Zr 2.72, 2 U 2.77, 3 Np 2.77-2.82
10 P 0.2453 0.7543 0.2453  1 Zr 2.72, 2 U 2.77, 3 Np 2.77-2.82
11 P 0.2457 0.7547 0.7547  1 Zr 2.72, 2 U 2.77, 3 Np 2.77-2.82
12 P 0.2499 0.2499 0.2499  3 Np 2.77, 3 U 2.77
13 P 0.7501 0.7501 0.7501  3 Np 2.77, 3 U 2.77
14 P 0.7543 0.2453 0.2453  1 Zr 2.72, 2 U 2.77, 3 Np 2.77-2.82
15 P 0.7547 0.2457 0.7547  1 Zr 2.72, 2 U 2.77, 3 Np 2.77-2.82
16 P 0.7547 0.7547 0.2457  1 Zr 2.72, 2 U 2.77, 3 Np 2.77-2.82

electronic total energy: -153.226 eV/cell
energy relative to the elements: -0.9857 eV per atom
space group: R-3m (166)

***

# 12
# NpVP2

A relaxed NpVP2 crystal (PBE, the Alexandria database).

Unit cell a=6.2372 b=6.2372 c=6.2372 alpha=34.36 beta=34.36 gamma=34.36
With the nearest neighbours (Å) after each atom.
Atoms (fractional coordinates):
1 Np 0.0000 0.0000 0.0000  6 P 2.72
2 V 0.5000 0.5000 0.5000  6 P 2.46
3 P 0.2373 0.2373 0.2373  3 V 2.46, 3 Np 2.72
4 P 0.7627 0.7627 0.7627  3 V 2.46, 3 Np 2.72

electronic total energy: -35.761 eV/cell
energy relative to the elements: -0.7205 eV per atom
energy relative to the lowest polymorph listed for this composition: 0.00 kJ per mole of atoms
space group: R-3m (166)